DFT (PBE) results for a geometry-optimized Li4TlNi structure.

```
Li4TlNi
1.0
0.000 3.549 3.549
3.549 0.000 3.549
3.549 3.549 0.000
Li Tl Ni
4 1 1
direct
0.124 0.124 0.124
0.124 0.124 0.629
0.124 0.629 0.124
0.629 0.124 0.124
0.500 0.500 0.500
0.750 0.750 0.750
```

Values from the calculation:
Magnetization (μB per formula unit): 0.0
Crystal system: cubic
Energy of formation (kJ/mol of atoms): 7.88

---

DFT (PBE) results for a geometry-optimized Li2TlNi structure.

```
Li2TlNi
1.0
-1.885 1.885 9.662
1.885 -1.885 9.662
1.885 1.885 -9.662
Li Tl Ni
4 2 2
direct
0.105 0.625 0.980
0.375 0.355 0.480
0.645 0.125 0.020
0.875 0.895 0.520
0.250 0.750 0.500
0.500 0.500 0.000
0.000 0.000 0.000
0.750 0.250 0.500
```

Values from the calculation:
Magnetization (μB per formula unit): 0.0
Crystal system: tetragonal
Energy of formation (kJ/mol of atoms): 10.09

---

DFT (PBE) results for a geometry-optimized Li2Tl2Ni structure.

```
Li2Tl2Ni
1.0
6.515 0.000 0.000
0.000 6.515 0.000
0.000 0.000 4.364
Li Tl Ni
4 4 2
direct
0.142 0.358 0.000
0.358 0.858 0.000
0.642 0.142 0.000
0.858 0.642 0.000
0.181 0.681 0.500
0.319 0.181 0.500
0.681 0.819 0.500
0.819 0.319 0.500
0.000 0.000 0.000
0.500 0.500 0.000
```

Values from the calculation:
Magnetization (μB per formula unit): 0.0
Crystal system: tetragonal
Energy of formation (kJ/mol of atoms): 11.01
Relative energy among the computed polymorphs (meV/atom): 52.4

---

DFT (PBE) results for a geometry-optimized LiTlNi3 structure.

```
LiTlNi3
1.0
4.825 0.000 0.000
0.000 4.825 0.000
0.000 0.000 4.825
Li Tl Ni
1 1 3
direct
0.000 0.000 0.000
0.500 0.500 0.500
0.000 0.500 0.500
0.500 0.000 0.500
0.500 0.500 0.000
```

Values from the calculation:
Magnetization (μB per formula unit): 0.0
Crystal system: cubic
Energy of formation (kJ/mol of atoms): 108.18
Relative energy among the computed polymorphs (meV/atom): 522.5

---

DFT (PBE) results for a geometry-optimized Li3TlNi structure.

```
Li3TlNi
1.0
4.903 0.000 0.000
0.000 4.903 0.000
0.000 0.000 4.903
Li Tl Ni
3 1 1
direct
0.000 0.000 0.500
0.000 0.500 0.000
0.500 0.000 0.000
0.000 0.000 0.000
0.500 0.500 0.500
```

Values from the calculation:
Magnetization (μB per formula unit): 0.2
Crystal system: cubic
Energy of formation (kJ/mol of atoms): 68.40
Relative energy among the computed polymorphs (meV/atom): 512.9

---

DFT (PBE) results for a geometry-optimized LiTl3Ni structure.

```
LiTl3Ni
1.0
5.124 0.000 0.000
0.000 5.124 0.000
0.000 0.000 5.124
Li Tl Ni
1 3 1
direct
0.000 0.000 0.000
0.000 0.500 0.500
0.500 0.000 0.500
0.500 0.500 0.000
0.500 0.500 0.500
```

Values from the calculation:
Magnetization (μB per formula unit): 0.0
Crystal system: cubic
Energy of formation (kJ/mol of atoms): 10.11
Relative energy among the computed polymorphs (meV/atom): 0.0